{
  "formula": "Sc2Se3",
  "functional": "PBE",
  "state": "optimized geometry",
  "final_energy_ev_per_fu": -31.51,
  "spacegroup": "C2/c, No. 15",
  "lattice": [[-5.227, 1.655, -3.826], [-0.994, -1.327, 6.477], [-1.164, 6.143, 2.256]],
  "species": ["Se", "Se", "Se", "Se", "Se", "Se", "Sc", "Sc", "Sc", "Sc"],
  "fractional_positions": [[0.847, 0.675, 0.001], [0.500, 0.000, 0.000], [0.153, 0.325, 0.999], [0.675, 0.847, 0.501], [0.000, 0.500, 0.500], [0.325, 0.153, 0.499], [0.913, 0.087, 0.750], [0.253, 0.747, 0.750], [0.087, 0.913, 0.250], [0.747, 0.253, 0.250]]
}

---

{
  "formula": "ScSe",
  "functional": "PBE",
  "state": "optimized geometry",
  "final_energy_ev_per_fu": -12.88,
  "spacegroup": "Cmcm, No. 63",
  "lattice": [[-6.728, 1.787, 1.415], [4.774, -2.958, -4.350], [-0.523, -3.285, 1.659]],
  "species": ["Sc", "Sc", "Se", "Se"],
  "fractional_positions": [[0.174, 0.826, 0.250], [0.826, 0.174, 0.750], [0.374, 0.626, 0.250], [0.626, 0.374, 0.750]]
}

---

{
  "formula": "ScSe",
  "functional": "PBE",
  "state": "optimized geometry",
  "final_energy_ev_per_fu": -12.05,
  "spacegroup": "Pm-3n, No. 223",
  "lattice": [[7.441, 0.000, 0.000], [0.000, 7.441, 0.000], [0.000, 0.000, 7.441]],
  "species": ["Se", "Se", "Se", "Se", "Se", "Se", "Sc", "Sc", "Sc", "Sc", "Sc", "Sc"],
  "fractional_positions": [[0.000, 0.500, 0.250], [0.500, 0.750, 0.000], [0.250, 0.000, 0.500], [0.500, 0.250, 0.000], [0.750, 0.000, 0.500], [0.000, 0.500, 0.750], [0.750, 0.500, 0.000], [0.250, 0.500, 0.000], [0.500, 0.000, 0.750], [0.000, 0.250, 0.500], [0.500, 0.000, 0.250], [0.000, 0.750, 0.500]]
}

---

{
  "formula": "ScSe2",
  "functional": "PBE",
  "state": "optimized geometry",
  "final_energy_ev_per_fu": -17.33,
  "spacegroup": "C2/m, No. 12",
  "lattice": [[-6.160, 3.418, -1.984], [-2.255, -3.239, 1.421], [0.194, 3.578, 8.465]],
  "species": ["Sc", "Sc", "Sc", "Sc", "Se", "Se", "Se", "Se", "Se", "Se", "Se", "Se"],
  "fractional_positions": [[0.783, 0.000, 0.318], [0.217, 0.000, 0.682], [0.783, 0.500, 0.818], [0.217, 0.500, 0.182], [0.152, 0.000, 0.371], [0.451, 0.500, 0.620], [0.549, 0.000, 0.880], [0.848, 0.500, 0.129], [0.451, 0.000, 0.120], [0.152, 0.500, 0.871], [0.848, 0.000, 0.629], [0.549, 0.500, 0.380]]
}

---

{
  "formula": "Sc2Se3",
  "functional": "PBE",
  "state": "optimized geometry",
  "final_energy_ev_per_fu": -31.40,
  "spacegroup": "R-3m, No. 166",
  "lattice": [[-7.460, 5.346, -4.252], [-7.375, 2.224, -6.556], [-9.352, 2.120, -3.218]],
  "species": ["Se", "Se", "Se", "Sc", "Sc"],
  "fractional_positions": [[0.773, 0.773, 0.773], [0.000, 0.000, 0.000], [0.227, 0.227, 0.227], [0.394, 0.394, 0.394], [0.606, 0.606, 0.606]]
}

---

{
  "formula": "Sc4Se",
  "functional": "PBE",
  "state": "optimized geometry",
  "spacegroup": "Im-3m, No. 229",
  "relative_energy_kj_per_mol_atoms": 36.85,
  "lattice": [[-3.154, 3.154, 3.154], [3.154, -3.154, 3.154], [3.154, 3.154, -3.154]],
  "species": ["Sc", "Sc", "Sc", "Sc", "Se"],
  "fractional_positions": [[0.000, 0.000, 0.500], [0.000, 0.500, 0.000], [0.500, 0.000, 0.000], [0.500, 0.500, 0.500], [0.000, 0.000, 0.000]]
}

---

{
  "formula": "Sc5Se8",
  "functional": "PBE",
  "state": "optimized geometry",
  "final_energy_ev_per_fu": -80.15,
  "spacegroup": "C2/m, No. 12",
  "lattice": [[7.402, -0.012, -2.045], [-4.453, 5.987, -1.814], [-0.040, -0.121, 7.464]],
  "species": ["Se", "Se", "Se", "Se", "Se", "Se", "Se", "Se", "Sc", "Sc", "Sc", "Sc", "Sc"],
  "fractional_positions": [[0.282, 0.451, 0.252], [0.704, 0.025, 0.730], [0.207, 0.543, 0.750], [0.718, 0.549, 0.748], [0.198, 0.029, 0.748], [0.802, 0.971, 0.252], [0.793, 0.457, 0.250], [0.296, 0.975, 0.270], [0.239, 0.739, 0.500], [0.262, 0.269, 0.531], [0.738, 0.731, 0.469], [0.000, 0.000, 0.000], [0.761, 0.261, 0.500]]
}

---

{
  "formula": "ScSe",
  "functional": "PBE",
  "state": "optimized geometry",
  "final_energy_ev_per_fu": -12.45,
  "spacegroup": "P6_3/m, No. 176",
  "lattice": [[-3.864, -7.688, -4.840], [6.276, 6.078, -4.597], [3.308, -2.459, 1.266]],
  "species": ["Se", "Se", "Se", "Se", "Se", "Se", "Sc", "Sc", "Sc", "Sc", "Sc", "Sc"],
  "fractional_positions": [[0.350, 0.027, 0.250], [0.973, 0.324, 0.250], [0.324, 0.350, 0.750], [0.650, 0.973, 0.750], [0.676, 0.650, 0.250], [0.027, 0.676, 0.750], [0.663, 0.138, 0.250], [0.337, 0.862, 0.750], [0.862, 0.524, 0.250], [0.524, 0.663, 0.750], [0.138, 0.476, 0.750], [0.476, 0.337, 0.250]]
}

---

{
  "formula": "ScSe",
  "functional": "PBE",
  "state": "optimized geometry",
  "final_energy_ev_per_fu": -13.00,
  "spacegroup": "Fm-3m, No. 225",
  "lattice": [[3.871, 0.001, 0.001], [1.930, 3.356, 0.001], [1.930, 1.117, 3.165]],
  "species": ["Sc", "Se"],
  "fractional_positions": [[0.000, 0.000, 0.000], [0.500, 0.500, 0.500]]
}

---

{
  "formula": "Sc2Se3",
  "functional": "PBE",
  "state": "optimized geometry",
  "final_energy_ev_per_fu": -31.41,
  "spacegroup": "P-3m1, No. 164",
  "lattice": [[3.882, 0.000, 0.000], [-1.941, 3.362, 0.000], [0.000, 0.000, 10.089]],
  "species": ["Se", "Se", "Se", "Sc", "Sc"],
  "fractional_positions": [[0.667, 0.333, 0.689], [0.000, 0.000, 0.000], [0.333, 0.667, 0.311], [0.667, 0.333, 0.177], [0.333, 0.667, 0.823]]
}

---

{
  "formula": "Sc4Se",
  "functional": "PBE",
  "state": "optimized geometry",
  "spacegroup": "Pm-3m, No. 221",
  "relative_energy_kj_per_mol_atoms": 14.50,
  "lattice": [[5.058, 0.000, 0.000], [0.000, 5.058, 0.000], [0.000, 0.000, 5.058]],
  "species": ["Sc", "Sc", "Sc", "Sc", "Se"],
  "fractional_positions": [[0.000, 0.500, 0.500], [0.500, 0.000, 0.500], [0.500, 0.500, 0.000], [0.000, 0.000, 0.000], [0.500, 0.500, 0.500]]
}

---

{
  "formula": "ScSe",
  "functional": "PBE",
  "state": "optimized geometry",
  "final_energy_ev_per_fu": -12.37,
  "spacegroup": "F-43m, No. 216",
  "lattice": [[-5.893, -1.245, 0.521], [1.027, -5.651, -1.888], [0.876, -1.752, 5.720]],
  "species": ["Sc", "Sc", "Sc", "Sc", "Se", "Se", "Se", "Se"],
  "fractional_positions": [[0.250, 0.250, 0.250], [0.250, 0.750, 0.750], [0.750, 0.250, 0.750], [0.750, 0.750, 0.250], [0.500, 0.500, 0.000], [0.500, 0.000, 0.500], [0.000, 0.000, 0.000], [0.000, 0.500, 0.500]]
}